The following is a PBE calculation of a relaxed structure of InSiRuO, from Alexandria.

Cell: 4.6100 2.8989 11.2635 Å, 90.00 90.00 90.00°
Space group Amm2 (No. 38)
Symmetry-distinct sites (fractional):
In1 0.0000 0.0000 0.0000
Si1 0.5000 0.0000 0.3058
Ru1 0.5000 0.0000 0.4983
O1 0.5000 0.0000 0.7194

relative energy among the computed polymorphs	38.3	kJ/mol of atoms
N(E_F)	4.21	states/eV/cell
energy relative to the elements, uncorrected	-0.591	eV per atom
total magnetic moment	0.0	Bohr magnetons per cell


The following is a PBE calculation of a relaxed structure of Na2In4SnPb2, from Alexandria.

Cell: 7.1896 7.1896 10.3737 Å, 90.00 90.00 90.00°
Space group I4/mmm (No. 139)
Symmetry-distinct sites (fractional):
Na1 0.0000 0.0000 0.2208
In1 0.2158 0.2158 0.0000
Sn1 0.0000 0.0000 0.5000
Pb1 0.0000 0.5000 0.2500

formation energy	0.067	eV per atom
N(E_F)	9.05	states/eV/cell
total magnetic moment	0.0	Bohr magnetons per cell


The following is a PBE calculation of a relaxed structure of Hg2SeBr6, from Alexandria.

Cell: 8.6404 13.3471 8.4423 Å, 90.00 118.77 90.00°
Space group P2_1/c (No. 14)
Symmetry-distinct sites (fractional):
Hg1 0.2110 0.2418 0.2393
Se1 0.5000 0.0000 0.0000
Br1 0.0352 0.7110 0.5675
Br2 0.2319 0.0136 0.7009
Br3 0.4758 0.2460 0.5438

energy relative to the elements, uncorrected	-0.201	eV per atom
total magnetic moment	4.0	Bohr magnetons per cell